{"formula": "LaMnGaO2", "functional": "PBE with a Hubbard U", "state": "relaxed", "lattice": [[4.3727, 0.0000, 0.0000], [0.0000, 4.3727, 0.0000], [0.0000, 0.0000, 7.0465]], "species": ["La", "Mn", "Ga", "O", "O"], "frac_coords": [[0.0000, 0.0000, 0.0000], [0.0000, 0.0000, 0.5000], [0.5000, 0.5000, 0.5000], [0.0000, 0.5000, 0.0000], [0.5000, 0.0000, 0.0000]], "dos_at_fermi_per_ev_atom": 0.6774, "vol_a3_per_cell": 134.7, "energy_ev_per_atom": -5.792}